No. 1
! NaAs2Pb PBE relaxed; values from VASP
&SYSTEM
  ibrav = 0, nat = 8, ntyp = 3
/
ATOMIC_SPECIES
Pb 207.20 Pb.upf
Na 22.99 Na.upf
As 74.92 As.upf
CELL_PARAMETERS angstrom
-0.3273 6.2329 3.3573
-4.1802 2.5423 -5.1274
-6.5216 2.7316 1.7733
ATOMIC_POSITIONS crystal
Pb 0.0000 0.0000 0.0000
Pb 0.7500 0.2500 0.5000
Na 0.5000 0.5000 0.0000
Na 0.2500 0.7500 0.5000
As 0.6497 0.1250 0.2500
As 0.1003 0.6250 0.2500
As 0.3750 0.3503 0.7500
As 0.8750 0.8997 0.7500
! **Total DFT energy (no corrections)**: -3.4271 eV per atom
! **E_form**: 0.155 eV per atom
! **Fermi-level density of states**: 0.5157 states/eV/atom
! **Space-group type**: I-42d (122)

---

No. 2
! La2PPb PBE relaxed; values from VASP
&SYSTEM
  ibrav = 0, nat = 4, ntyp = 3
/
ATOMIC_SPECIES
La 138.91 La.upf
P 30.97 P.upf
Pb 207.20 Pb.upf
CELL_PARAMETERS angstrom
-4.0502 0.6985 -0.2741
-2.4723 -2.8431 -1.6648
-3.3114 -4.2665 7.1081
ATOMIC_POSITIONS crystal
La 0.0660 0.0660 0.8021
La 0.2676 0.2676 0.1973
P 0.6670 0.6670 0.9990
Pb 0.4995 0.4995 0.5016
! **Total DFT energy (no corrections)**: -5.7624 eV per atom
! **E_form**: -1.019 eV per atom
! **Fermi-level density of states**: 0.7605 states/eV/atom
! **Space-group type**: R3m (160)

---

No. 3
! HfTiCoCu PBE relaxed; values from VASP
&SYSTEM
  ibrav = 0, nat = 4, ntyp = 4
/
ATOMIC_SPECIES
Co 58.93 Co.upf
Hf 178.49 Hf.upf
Cu 63.55 Cu.upf
Ti 47.87 Ti.upf
CELL_PARAMETERS angstrom
-0.8141 -4.2811 0.6176
1.9083 -2.1440 3.3367
-2.4115 -1.3074 3.4420
ATOMIC_POSITIONS crystal
Co 0.0000 0.0000 0.0000
Hf 0.7500 0.7500 0.7500
Cu 0.5000 0.5000 0.5000
Ti 0.2500 0.2500 0.2500
! **Total DFT energy (no corrections)**: -7.4712 eV per atom
! **E_form**: -0.209 eV per atom
! **Fermi-level density of states**: 0.9603 states/eV/atom
! **Space-group type**: F-43m (216)

---

No. 4
! Bi4Se3S4 PBE relaxed; values from VASP
&SYSTEM
  ibrav = 0, nat = 11, ntyp = 3
/
ATOMIC_SPECIES
Bi 208.98 Bi.upf
Se 78.96 Se.upf
S 32.06 S.upf
CELL_PARAMETERS angstrom
4.2668 0.0000 0.0000
0.0000 7.9593 0.0000
-2.1334 -3.9797 8.4506
ATOMIC_POSITIONS crystal
Bi 0.2150 0.7150 0.4301
Bi 0.7850 0.2850 0.5699
Bi 0.5000 0.7592 0.0000
Bi 0.5000 0.2408 0.0000
Se 0.0734 0.0734 0.1467
Se 0.9266 0.9266 0.8533
Se 0.0000 0.5000 0.0000
S 0.3318 0.1152 0.6637
S 0.6682 0.4515 0.3363
S 0.6682 0.8848 0.3363
S 0.3318 0.5485 0.6637
! **Uncorrected formation energy**: -0.128 eV/atom
! **Total DFT energy (no corrections)**: -3.9905 eV per atom
! **Fermi-level density of states**: 0.1841 states/eV/atom
! **Space-group type**: Immm (71)

---

No. 5
! SbIrRh2 PBE relaxed; values from VASP
&SYSTEM
  ibrav = 0, nat = 4, ntyp = 3
/
ATOMIC_SPECIES
Sb 121.76 Sb.upf
Ir 192.22 Ir.upf
Rh 102.91 Rh.upf
CELL_PARAMETERS angstrom
2.9121 0.0000 0.0000
0.0000 4.5242 0.0000
0.0000 0.0000 4.8079
ATOMIC_POSITIONS crystal
Sb 0.5000 0.0000 0.5494
Ir 0.5000 0.5000 0.1847
Rh 0.0000 0.0000 0.0603
Rh 0.0000 0.5000 0.7056
! **Uncorrected formation energy**: -0.003 eV/atom
! **Total DFT energy (no corrections)**: -6.9245 eV per atom
! **Fermi-level density of states**: 1.1762 states/eV/atom
! **Space-group type**: Pmm2 (25)

---

- total DFT energy (no corrections) of number 5 (SbIrRh2)?
  -6.9245 eV per atom